## Y3CdN (PBE)

Data for Y3CdN after structural relaxation.

```
Y3CdN
1.0
7.2642 0.0000 0.0000
0.0000 5.0265 0.0000
-4.6485 0.0000 13.7941
Y Cd N
12 4 4
direct
0.1234 0.2497 0.0833
0.1234 0.2503 0.5833
0.2009 0.2496 0.3502
0.2009 0.2504 0.8502
0.3447 0.7495 0.2337
0.3447 0.7505 0.7337
0.6553 0.2495 0.2663
0.6553 0.2505 0.7663
0.7991 0.7496 0.1498
0.7991 0.7504 0.6498
0.8766 0.7497 0.4167
0.8766 0.7503 0.9167
0.3586 0.7497 0.4910
0.3586 0.7503 0.9910
0.6414 0.2497 0.0090
0.6414 0.2503 0.5090
0.3334 0.2494 0.2325
0.3334 0.2506 0.7325
0.6666 0.7494 0.2675
0.6666 0.7506 0.7675
```

- Space group: P2_1/c
- Calculated density: 5.184 g/cm³
- Uncorrected energy: -6.401 eV per atom

---

## Y3CdN (PBE)

Data for Y3CdN after structural relaxation.

```
Y3CdN
1.0
3.5049 2.0236 7.3058
-3.5049 2.0236 7.3058
0.0000 -4.0471 7.3058
Y Cd N
6 2 2
direct
0.0528 0.7500 0.4472
0.2500 0.5528 0.9472
0.4472 0.0528 0.7500
0.5528 0.9472 0.2500
0.7500 0.4472 0.0528
0.9472 0.2500 0.5528
0.0000 0.0000 0.0000
0.5000 0.5000 0.5000
0.2500 0.2500 0.2500
0.7500 0.7500 0.7500
```

- Space group: R-3c
- Calculated density: 4.200 g/cm³
- Uncorrected energy: -6.061 eV per atom

---

## Y3CdN (PBE)

Data for Y3CdN after structural relaxation.

```
Y3CdN
1.0
-1.7142 5.3635 6.6990
1.7142 -5.3635 6.6990
1.7142 5.3635 -6.6990
Y Cd N
6 2 2
direct
0.1586 0.1586 0.0000
0.2030 0.8543 0.3487
0.4943 0.1457 0.3487
0.5057 0.8543 0.6513
0.7970 0.1457 0.6513
0.8414 0.8414 0.0000
0.1607 0.5000 0.6607
0.8393 0.5000 0.3393
0.3316 0.3316 0.0000
0.6684 0.6684 0.0000
```

- Space group: Immm
- Calculated density: 5.300 g/cm³
- Uncorrected energy: -6.395 eV per atom

---

## Y3CdN (PBE)

Data for Y3CdN after structural relaxation.

```
Y3CdN
1.0
4.5597 0.0000 0.0000
0.0000 4.5597 0.0000
0.0000 0.0000 8.5414
Y Cd N
3 1 1
direct
0.0000 0.0000 0.0000
0.0000 0.5000 0.6602
0.5000 0.0000 0.6602
0.0000 0.0000 0.3736
0.5000 0.5000 0.6202
```

- Space group: P4mm
- Calculated density: 3.676 g/cm³
- Uncorrected energy: -5.663 eV per atom

---

## Y2CdN (PBE)

Data for Y2CdN after structural relaxation.

```
Y2CdN
1.0
0.0000 3.4853 3.4853
3.4853 0.0000 3.4853
3.4853 3.4853 0.0000
Y Cd N
2 1 1
direct
0.2500 0.2500 0.2500
0.7500 0.7500 0.7500
0.0000 0.0000 0.0000
0.5000 0.5000 0.5000
```

- Space group: Fm-3m
- Polymorph energy (0 for the lowest one): 1237 meV/atom
- Calculated density: 5.966 g/cm³
- Uncorrected energy: -5.234 eV per atom

---

## Y2CdN (PBE)

Data for Y2CdN after structural relaxation.

```
Y2CdN
1.0
1.7612 1.0168 7.9353
-1.7612 1.0168 7.9353
0.0000 -2.0336 7.9353
Y Cd N
2 1 1
direct
0.2234 0.2234 0.2234
0.7766 0.7766 0.7766
0.0000 0.0000 0.0000
0.5000 0.5000 0.5000
```

- Space group: R-3m
- Polymorph energy (0 for the lowest one): 0 meV/atom
- Calculated density: 5.925 g/cm³
- Uncorrected energy: -6.471 eV per atom

---

Energy relative to the elements, uncorrected in eV per atom, matching the order above: -0.67; -0.33; -0.67; 0.06; 0.31; -0.93